(1)
Pr2Al4GaCu3 (PBE, relaxed); density of states at the Fermi level = 4.30 states/eV/f.u.; calculated volume = 18.81 A^3/atom; electronic total energy = -44.3 eV per cell
1.0
4.276 0.000 0.000
0.000 4.276 0.000
0.000 0.000 10.289
Al Ga Cu Pr
4 1 3 2
direct
0.000 0.000 0.000
0.000 0.500 0.362
0.500 0.500 0.000
0.500 0.000 0.638
0.500 0.500 0.500
0.000 0.500 0.126
0.500 0.000 0.874
0.000 0.000 0.500
0.500 0.000 0.249
0.000 0.500 0.751

***

(2)
CaNdAg4 (PBE, relaxed); density of states at the Fermi level = 2.31 states/eV/f.u.; calculated volume = 22.88 A^3/atom; electronic total energy = -19.7 eV per cell
1.0
5.358 -0.076 0.042
0.044 4.661 2.659
-0.044 -0.035 5.476
Ag Ca Nd
4 1 1
direct
0.501 0.326 0.848
0.001 0.174 0.150
0.001 0.829 0.841
0.501 0.678 0.143
0.501 0.002 0.495
0.001 0.502 0.495